Record 1
MgPPb (PBE, optimized geometry); DOS at the Fermi energy = 1.937 states/eV per cell; DFT formation energy = -0.121 eV per atom; M_tot = 0.0000 μB/atom; density = 5.82 Mg/m³; energy relative to the lowest polymorph listed for this composition = 0.093 eV/atom
1.0
4.064 0.000 0.000
-2.032 3.519 0.000
0.000 0.000 5.237
Mg P Pb
1 1 1
direct
0.000 0.000 0.000 Mg
0.333 0.667 0.195 P
0.667 0.333 0.532 Pb

=====

Record 2
MgPPb (PBE, optimized geometry); DOS at the Fermi energy = 1.275 states/eV per cell; DFT formation energy = -0.069 eV per atom; M_tot = 0.0000 μB/atom; density = 5.51 Mg/m³; energy relative to the lowest polymorph listed for this composition = 0.145 eV/atom
1.0
-1.697 1.918 6.075
1.697 -1.918 6.075
1.697 1.918 -6.075
Mg P Pb
1 1 1
direct
0.000 0.000 0.000 Mg
0.499 0.499 0.000 P
0.276 0.276 0.000 Pb

=====

Record 3
MgPPb4 (PBE, optimized geometry); DOS at the Fermi energy = 5.690 states/eV per cell; DFT formation energy = 0.502 eV per atom; M_tot = 0.0000 μB/atom; density = 7.98 Mg/m³
1.0
0.000 4.514 4.514
4.514 0.000 4.514
4.514 4.514 0.000
Mg P Pb
1 1 4
direct
0.000 0.000 0.000 Mg
0.750 0.750 0.750 P
0.375 0.375 0.375 Pb
0.375 0.375 0.876 Pb
0.375 0.876 0.375 Pb
0.876 0.375 0.375 Pb

=====

Question: Among the records above, which one has the highest DFT formation energy?
Answer: MgPPb4

=====

Please write out number 1 again, unchanged.
MgPPb (PBE, optimized geometry); DOS at the Fermi energy = 1.937 states/eV per cell; DFT formation energy = -0.121 eV per atom; M_tot = 0.0000 μB/atom; density = 5.82 Mg/m³; energy relative to the lowest polymorph listed for this composition = 0.093 eV/atom
1.0
4.064 0.000 0.000
-2.032 3.519 0.000
0.000 0.000 5.237
Mg P Pb
1 1 1
direct
0.000 0.000 0.000 Mg
0.333 0.667 0.195 P
0.667 0.333 0.532 Pb